Computed, not measured: Rb2AlPd2 after structural relaxation at the PBE-GGA level of DFT.

Computed properties:
Density of states at the Fermi level (states/eV per cell): 3.89
Space group: P4/mbm (127)
Formation energy from the elements (eV per atom): -0.053

POSCAR file:
```
Rb2AlPd2
1.0
-4.3434 4.8225 -1.5132
-5.0137 -4.3635 0.4847
-0.5667 1.2878 5.7306
Rb Pd Al
4 4 2
direct
0.8211 0.3211 0.5000
0.6789 0.8211 0.5000
0.3211 0.1789 0.5000
0.1789 0.6789 0.5000
0.1461 0.3539 0.0000
0.6461 0.1461 0.0000
0.3539 0.8539 0.0000
0.8539 0.6461 0.0000
0.5000 0.5000 0.0000
0.0000 0.0000 0.0000
```